Entry 1:
DFT (GGA-PBE) results for a geometry-optimized LiZrN2 structure.

a b c (Å): 3.825 3.825 3.825
angles (deg): 60.00 60.00 60.00
Fractional coordinates of all 4 atoms:
Li: 0.000 0.000 0.000
Zr: 0.500 0.500 0.500
N: 0.250 0.250 0.250
N: 0.750 0.750 0.750

Summary:
DOS at the Fermi energy = 3.0 states/eV/cell
Formation energy without anion corrections = -191.1 kJ/mol of formula units
ρ = 5.30 g/cm³
Spin magnetization = 0.0 μB/f.u.

=====

Entry 2:
DFT (GGA-PBE) results for a geometry-optimized LiGdCd4 structure.

a b c (Å): 5.864 5.864 5.864
angles (deg): 60.00 60.00 60.00
Fractional coordinates of all 6 atoms:
Li: 0.000 0.000 0.000
Gd: 0.250 0.250 0.250
Cd: 0.124 0.625 0.625
Cd: 0.625 0.124 0.625
Cd: 0.625 0.625 0.124
Cd: 0.625 0.625 0.625

Summary:
DOS at the Fermi energy = 5.6 states/eV/cell
VASP energy = -3.45 eV per atom
ρ = 7.15 g/cm³
Spin magnetization = 7.5 μB/f.u.

=====

Entry 3:
DFT (GGA-PBE) results for a geometry-optimized Li2ZrSb structure.

a b c (Å): 3.156 4.015 6.534
angles (deg): 90.00 90.00 90.00
Fractional coordinates of all 4 atoms:
Li: 0.000 0.000 0.000
Li: 0.500 0.500 0.205
Zr: 0.500 0.500 0.707
Sb: 0.000 0.000 0.457

Summary:
DOS at the Fermi energy = 2.3 states/eV/cell
Formation energy without anion corrections = -83.7 kJ/mol of formula units
ρ = 4.55 g/cm³
Spin magnetization = 0.0 μB/f.u.

=====

Entry 4:
DFT (GGA-PBE) results for a geometry-optimized AgICl3 structure.

a b c (Å): 5.109 5.109 5.109
angles (deg): 90.00 90.00 90.00
Fractional coordinates of all 5 atoms:
Ag: 0.000 0.000 0.000
I: 0.500 0.500 0.500
Cl: 0.000 0.000 0.500
Cl: 0.000 0.500 0.000
Cl: 0.500 0.000 0.000

Summary:
DOS at the Fermi energy = 3.2 states/eV/cell
Formation energy without anion corrections = 26.5 kJ/mol of formula units
ρ = 4.25 g/cm³
Spin magnetization = 2.1 μB/f.u.

=====

Entry 5:
DFT (GGA-PBE) results for a geometry-optimized CeErRuPt structure.

a b c (Å): 4.905 4.905 4.905
angles (deg): 60.00 60.00 60.00
Fractional coordinates of all 4 atoms:
Ce: 0.000 0.000 0.000
Er: 0.500 0.500 0.500
Ru: 0.750 0.750 0.750
Pt: 0.250 0.250 0.250

Summary:
DOS at the Fermi energy = 4.8 states/eV/cell
VASP energy = -7.17 eV per atom
ρ = 12.01 g/cm³
Spin magnetization = 0.3 μB/f.u.

=====

Entry 6:
DFT (GGA-PBE) results for a geometry-optimized Mg2Fe3Ge4 structure.

a b c (Å): 7.519 6.618 5.130
angles (deg): 78.47 59.59 41.95
Fractional coordinates of all 9 atoms:
Mg: 0.118 0.118 0.882
Mg: 0.882 0.882 0.118
Fe: 0.000 0.000 0.500
Fe: 0.500 0.500 0.000
Fe: 0.500 0.500 0.500
Ge: 0.173 0.509 0.491
Ge: 0.491 0.827 0.173
Ge: 0.509 0.173 0.827
Ge: 0.827 0.491 0.509

Summary:
DOS at the Fermi energy = 4.4 states/eV/cell
VASP energy = -5.32 eV per atom
ρ = 6.01 g/cm³
Spin magnetization = 4.7 μB/f.u.

=====

Entry 7:
DFT (GGA-PBE) results for a geometry-optimized La2TaIn structure.

a b c (Å): 6.263 6.263 5.818
angles (deg): 103.75 103.75 30.12
Fractional coordinates of all 4 atoms:
La: 0.000 0.000 0.000
La: 0.195 0.195 0.648
Ta: 0.442 0.442 0.481
In: 0.757 0.757 0.177

Summary:
DOS at the Fermi energy = 4.2 states/eV/cell
VASP energy = -5.98 eV per atom
ρ = 8.58 g/cm³
Spin magnetization = 0.0 μB/f.u.

=====

Entry 8:
DFT (GGA-PBE) results for a geometry-optimized AsH5 structure.

a b c (Å): 5.351 5.351 3.083
angles (deg): 90.00 90.00 149.52
Fractional coordinates of all 6 atoms:
As: 0.000 0.000 0.000
H: 0.248 0.752 0.500
H: 0.394 0.606 0.000
H: 0.500 0.500 0.500
H: 0.606 0.394 0.000
H: 0.752 0.248 0.500

Summary:
DOS at the Fermi energy = 0.6 states/eV/cell
VASP energy = -2.75 eV per atom
ρ = 2.97 g/cm³
Spin magnetization = 0.0 μB/f.u.

=====

What did the third record say?
DFT (GGA-PBE) results for a geometry-optimized Li2ZrSb structure.

a b c (Å): 3.156 4.015 6.534
angles (deg): 90.00 90.00 90.00
Fractional coordinates of all 4 atoms:
Li: 0.000 0.000 0.000
Li: 0.500 0.500 0.205
Zr: 0.500 0.500 0.707
Sb: 0.000 0.000 0.457

Summary:
DOS at the Fermi energy = 2.3 states/eV/cell
Formation energy without anion corrections = -83.7 kJ/mol of formula units
ρ = 4.55 g/cm³
Spin magnetization = 0.0 μB/f.u.

=====

- Which of these has the highest DOS at the Fermi energy?
  LiGdCd4

=====

What did the third record say?
DFT (GGA-PBE) results for a geometry-optimized Li2ZrSb structure.

a b c (Å): 3.156 4.015 6.534
angles (deg): 90.00 90.00 90.00
Fractional coordinates of all 4 atoms:
Li: 0.000 0.000 0.000
Li: 0.500 0.500 0.205
Zr: 0.500 0.500 0.707
Sb: 0.000 0.000 0.457

Summary:
DOS at the Fermi energy = 2.3 states/eV/cell
Formation energy without anion corrections = -83.7 kJ/mol of formula units
ρ = 4.55 g/cm³
Spin magnetization = 0.0 μB/f.u.

=====

- What is the formula in the third record?
  Li2ZrSb